# Ce3Tm2Pb4 (PBE, relaxed)
# Polymorph energy (0 for the lowest one) = 12.1 meV/atom
# DOS(E_F) = 41.84 states/eV/cell
# Calculated volume = 556.7 Å³ per cell
# E = -89.40 eV/cell
data_Ce3Tm2Pb4
_chemical_formula_sum 'Ce6 Tm4 Pb8'
_cell_length_a 16.2592
_cell_length_b 5.1301
_cell_length_c 6.9171
_cell_angle_alpha 90.00
_cell_angle_beta 105.24
_cell_angle_gamma 90.00
_symmetry_space_group_name_H-M 'C 1 2/m 1'
_symmetry_Int_Tables_number 12
loop_
_symmetry_equiv_pos_as_xyz
'x,y,z'
'-x,-y,-z'
'-x,y,-z'
'x,-y,z'
'x+1/2,y+1/2,z'
'-x+1/2,-y+1/2,-z'
'-x+1/2,y+1/2,-z'
'x+1/2,-y+1/2,z'
loop_
_atom_site_label
_atom_site_type_symbol
_atom_site_fract_x
_atom_site_fract_y
_atom_site_fract_z
Ce1 Ce 0.0000 0.0000 0.0000
Ce2 Ce 0.1185 0.0000 0.5838
Tm1 Tm 0.1660 0.5000 0.0697
Pb1 Pb 0.0074 0.5000 0.2843
Pb2 Pb 0.2407 0.0000 0.2766